Run i
Entry from the Alexandria database: Fe2NiOs after structural relaxation (PBE).

As for the mass density: 12.69 Mg/m³.

The structure belongs to space group I-4m2 (No. 119); the cell edges are 3.625, 3.625 and 7.184 Å and the angles 90.00°, 90.00° and 90.00°. The inequivalent atoms are Fe at (0.000, 0.000, 0.000), Fe at (0.000, 0.500, 0.250), Ni at (0.000, 0.500, 0.750) and Os at (0.000, 0.000, 0.500).

=====

Run ii
Entry from the Alexandria database: Fe2NiOs after structural relaxation (PBE).

As for the mass density: 12.29 Mg/m³.

The structure belongs to space group Cmmm (No. 65); the cell edges are 5.126, 7.328 and 2.594 Å and the angles 90.00°, 90.00° and 90.00°. The inequivalent atoms are Fe at (0.250, 0.250, 0.000), Ni at (0.000, 0.000, 0.500) and Os at (0.000, 0.500, 0.500).

=====

Run iii
Entry from the Alexandria database: Fe2NiOs after structural relaxation (PBE).

As for the mass density: 12.09 Mg/m³.

The structure belongs to space group R3m (No. 160, hexagonal axes); the cell edges are 2.6280, 2.6280 and 24.8478 Å and the angles 90.00°, 90.00° and 120.00°. The inequivalent atoms are Fe at (0.0000, 0.0000, 0.0000), Fe at (0.0000, 0.0000, 0.2507), Ni at (0.0000, 0.0000, 0.7463) and Os at (0.0000, 0.0000, 0.5008).

=====

Energetically preferred structure: run i | next structure: +0.012 eV/atom

=====

Run i
Entry from the Alexandria database: Fe2NiOs after structural relaxation (PBE).

As for the mass density: 12.33 Mg/m³.

The structure belongs to space group P4/mmm (No. 123); the cell edges are 2.619, 2.619 and 7.078 Å and the angles 90.00°, 90.00° and 90.00°. The inequivalent atoms are Fe at (0.000, 0.000, 0.240), Ni at (0.500, 0.500, 0.000) and Os at (0.500, 0.500, 0.500).

=====

Run ii
Entry from the Alexandria database: Fe2NiOs after structural relaxation (PBE).

As for the mass density: 11.99 Mg/m³.

The structure belongs to space group C2/m (No. 12); the cell edges are 5.078, 8.469 and 2.514 Å and the angles 90.00°, 112.47° and 90.00°. The inequivalent atoms are Fe at (0.250, 0.250, 0.000), Ni at (0.000, 0.000, 0.500) and Os at (0.000, 0.500, 0.500).

=====

Run iii
Entry from the Alexandria database: Fe2NiOs after structural relaxation (PBE).

As for the mass density: 9.10 Mg/m³.

The structure belongs to space group I-42d (No. 122); the cell edges are 5.205, 5.205 and 9.718 Å and the angles 90.00°, 90.00° and 90.00°. The inequivalent atoms are Fe at (0.238, 0.250, 0.125), Ni at (0.000, 0.000, 0.000) and Os at (0.000, 0.000, 0.500).

=====

Run iv
Entry from the Alexandria database: Fe2NiOs after structural relaxation (PBE).

As for the mass density: 11.85 Mg/m³.

The structure belongs to space group Cmmm (No. 65); the cell edges are 2.910, 4.246 and 8.181 Å and the angles 90.00°, 90.00° and 90.00°. The inequivalent atoms are Fe at (0.000, 0.000, 0.238), Ni at (0.000, 0.500, 0.000) and Os at (0.000, 0.500, 0.500).

=====

Energetically preferred structure: run i | next structure: +0.089 eV/atom

=====

Run i
Entry from the Alexandria database: Fe2NiOs after structural relaxation (PBE).

As for the mass density: 12.42 Mg/m³.

The structure belongs to space group Pmmm (No. 47); the cell edges are 2.598, 3.644 and 5.093 Å and the angles 90.00°, 90.00° and 90.00°. The inequivalent atoms are Fe at (0.000, 0.000, 0.246), Ni at (0.500, 0.500, 0.000) and Os at (0.500, 0.500, 0.500).

=====

Run ii
Entry from the Alexandria database: Fe2NiOs after structural relaxation (PBE).

As for the mass density: 12.28 Mg/m³.

The structure belongs to space group Fm-3m (No. 225); the cell edges are 5.800, 5.800 and 5.800 Å and the angles 90.00°, 90.00° and 90.00°. The inequivalent atoms are Fe at (0.250, 0.250, 0.250), Ni at (0.000, 0.000, 0.000) and Os at (0.000, 0.000, 0.500).

=====

Run iii
Entry from the Alexandria database: Fe2NiOs after structural relaxation (PBE).

As for the mass density: 12.32 Mg/m³.

The structure belongs to space group P4mm (No. 99); the cell edges are 2.618, 2.618 and 7.094 Å and the angles 90.00°, 90.00° and 90.00°. The inequivalent atoms are Fe at (0.000, 0.000, 0.000), Fe at (0.500, 0.500, 0.249), Ni at (0.000, 0.000, 0.493) and Os at (0.500, 0.500, 0.758).

=====

Energetically preferred structure: run i | next structure: +0.019 eV/atom